Entry from Alexandria via LeMat-Bulk: a geometry-optimized MgInSi structure (GGA-PBE).

Calculated values
* E: -3.159 eV per atom
* E_form (uncorrected): 27 kJ/mol of formula units

Lattice parameters (Å, degrees): 5.613 5.544 5.535 104.41 107.27 117.91
Positions (direct):
In: 0.051 0.159 0.166
In: 0.844 0.690 0.492
Mg: 0.401 0.884 0.237
Mg: 0.562 0.342 0.857
Si: 0.423 0.747 0.707
Si: 0.004 0.327 0.711